The following is a DFT calculation (GGA-PBEsol) of crystalline Cu2HgPt at its relaxed geometry.

Calculated values
- electronic total energy (eV/cell) = -16.2
- formation energy (eV per atom) = -0.01

a = 3.8316 Å, b = 3.8316 Å, c = 4.7832 Å
α = 113.61°, β = 113.61°, γ = 90.00°
Last column: nearest neighbours and their distance in Å.
Fractional coordinates of all 4 atoms:
Cu (0.0000, 0.0000, 0.0000)  4 Hg 2.71, 4 Cu 2.75, 4 Pt 2.75
Cu (0.7500, 0.2500, 0.5000)  4 Pt 2.71, 4 Hg 2.75, 4 Cu 2.75
Hg (0.5000, 0.5000, 0.0000)  8 Cu 2.71-2.75, 4 Pt 2.75
Pt (0.2500, 0.7500, 0.5000)  8 Cu 2.71-2.75, 4 Hg 2.75